Compound: CdSn2Pd
Source: the Alexandria database
Functional: PBE
Structure: relaxed

The total moment is 0.000 μB per atom. As for the formation energy: -191 meV per atom.

The structure belongs to space group P4/mmm (No. 123); the cell edges are 3.2652, 3.2652 and 8.5410 Å and the angles 90.00°, 90.00° and 90.00°. Symmetry generates all atoms from Cd at (0.0000, 0.0000, 0.0000), Sn at (0.5000, 0.5000, 0.2951) and Pd at (0.0000, 0.0000, 0.5000).

---

Compound: CdSnPd3
Source: the Alexandria database
Functional: PBE
Structure: relaxed

The total moment is 0.000 μB per atom. The polymorph energy (0 for the lowest one) is 56 meV/atom. As for the formation energy: -294 meV per atom.

The structure belongs to space group C2/c (No. 15); the cell edges are 5.5129, 13.3693 and 5.2384 Å and the angles 90.00°, 102.36° and 90.00°. Symmetry generates all atoms from Cd at (0.0000, 0.0439, 0.2500), Sn at (0.0000, 0.3227, 0.7500), Pd at (0.0000, 0.5000, 0.0000) and Pd at (0.2436, 0.1591, 0.6864).

---

Compound: CdSn2Pd
Source: the Alexandria database
Functional: PBE
Structure: relaxed

The total moment is 0.000 μB per atom. As for the formation energy: -153 meV per atom.

The structure belongs to space group R-3m (No. 166, hexagonal axes); the cell edges are 3.4384, 3.4384 and 28.5653 Å and the angles 90.00°, 90.00° and 120.00°. Symmetry generates all atoms from Cd at (0.0000, 0.0000, 0.0000), Sn at (0.0000, 0.0000, 0.1000) and Pd at (0.0000, 0.0000, 0.5000).

---

Compound: Cd3SnPd3
Source: the Alexandria database
Functional: PBE
Structure: relaxed

The total moment is 0.000 μB per atom. The polymorph energy (0 for the lowest one) is 0 meV/atom. As for the formation energy: -373 meV per atom.

The structure belongs to space group R-3m (No. 166, hexagonal axes); the cell edges are 9.1401, 9.1401 and 5.7163 Å and the angles 90.00°, 90.00° and 120.00°. Symmetry generates all atoms from Cd at (0.0000, 0.5000, 0.0000), Sn at (0.0000, 0.0000, 0.0000) and Pd at (0.0000, 0.5000, 0.5000).

---

Compound: CdSn2Pd5
Source: the Alexandria database
Functional: PBE
Structure: relaxed

The total moment is 0.000 μB per atom. The polymorph energy (0 for the lowest one) is 202 meV/atom. As for the formation energy: -191 meV per atom.

The structure belongs to space group Cmcm (No. 63); the cell edges are 2.9915, 17.6615 and 11.5561 Å and the angles 90.00°, 90.00° and 90.00°. Symmetry generates all atoms from Cd at (0.0000, 0.1373, 0.2500), Sn at (0.0000, 0.1259, 0.5130), Pd at (0.0000, 0.0054, 0.1282), Pd at (0.0000, 0.1323, 0.7500) and Pd at (0.0000, 0.2619, 0.1119).

---

Compound: Cd3SnPd
Source: the Alexandria database
Functional: PBE
Structure: relaxed

The total moment is 0.000 μB per atom. The polymorph energy (0 for the lowest one) is 276 meV/atom. As for the formation energy: 125 meV per atom.

The structure belongs to space group Pm-3m (No. 221); the cell edges are 5.1543, 5.1543 and 5.1543 Å and the angles 90.00°, 90.00° and 90.00°. Symmetry generates all atoms from Cd at (0.0000, 0.0000, 0.5000), Sn at (0.5000, 0.5000, 0.5000) and Pd at (0.0000, 0.0000, 0.0000).